Entry 1:
A PBEsol-optimized structure of CaLa2FeCl, computed with SCAN.

Lattice parameters (Å, degrees): 5.8298 5.8298 4.2543 90.00 90.00 90.00
Sites, in units of the cell vectors:
Ca 0.0000 0.0000 0.0000
La 0.0000 0.5000 0.0000
La 0.5000 0.0000 0.0000
Fe 0.0000 0.0000 0.5000
Cl 0.5000 0.5000 0.5000

Results
- final energy (eV/atom) = -23.748
- M_tot (μB per formula unit) = 1.75
- raw formation energy (meV/atom) = 649


Entry 2:
A PBEsol-optimized structure of ZnCdSe, computed with SCAN.

Lattice parameters (Å, degrees): 6.4091 6.0174 3.4669 80.13 67.67 32.20
Sites, in units of the cell vectors:
Zn 0.0000 0.0000 0.0000
Cd 0.3247 0.3247 0.6753
Se 0.6380 0.6380 0.3620

Results
- final energy (eV/atom) = -21.329
- M_tot (μB per formula unit) = 0.00
- raw formation energy (meV/atom) = 7


Entry 3:
A PBEsol-optimized structure of YTeAs2, computed with SCAN.

Lattice parameters (Å, degrees): 3.9766 4.2489 5.3943 90.00 90.00 90.00
Sites, in units of the cell vectors:
Y 0.0000 0.0000 0.0000
Te 0.5000 0.0000 0.5000
As 0.0000 0.5000 0.5000
As 0.5000 0.5000 0.0000

Results
- final energy (eV/atom) = -26.886
- M_tot (μB per formula unit) = 0.00
- raw formation energy (meV/atom) = -517


Entry 4:
A PBEsol-optimized structure of Zr2TlRh, computed with SCAN.

Lattice parameters (Å, degrees): 5.1598 5.1598 5.1598 131.12 131.12 71.62
Sites, in units of the cell vectors:
Zr 0.2500 0.7500 0.5000
Zr 0.7500 0.2500 0.5000
Tl 0.0000 0.0000 0.0000
Rh 0.5000 0.5000 0.0000

Results
- final energy (eV/atom) = -42.271
- energy relative to the elements (kcal/mol of atoms) = -9.0
- M_tot (μB per formula unit) = 0.00


Entry 5:
A PBEsol-optimized structure of YZnPt2, computed with SCAN.

Lattice parameters (Å, degrees): 3.4231 3.4231 5.8870 90.00 90.00 90.00
Sites, in units of the cell vectors:
Y 0.0000 0.0000 0.0000
Zn 0.0000 0.0000 0.5000
Pt 0.5000 0.5000 0.2736
Pt 0.5000 0.5000 0.7264

Results
- final energy (eV/atom) = -46.438
- energy relative to the elements (kcal/mol of atoms) = -23.1
- M_tot (μB per formula unit) = 0.00


Entry 6:
A PBEsol-optimized structure of Re2SiCl, computed with SCAN.

Lattice parameters (Å, degrees): 5.8493 5.8493 5.8493 152.63 138.02 50.84
Sites, in units of the cell vectors:
Re 0.2002 0.2002 0.0000
Re 0.7998 0.7998 0.0000
Si 0.0000 0.5000 0.5000
Cl 0.5000 0.0000 0.5000

Results
- final energy (eV/atom) = -39.450
- M_tot (μB per formula unit) = 0.00
- raw formation energy (meV/atom) = 597
- polymorph energy (0 for the lowest one) (eV per atom) = 0.000


Entry 7:
A PBEsol-optimized structure of KYGeS4, computed with SCAN.

Lattice parameters (Å, degrees): 6.4270 6.5818 8.5875 90.00 107.63 90.00
Sites, in units of the cell vectors:
K 0.2368 0.0000 0.4366
K 0.7632 0.5000 0.5634
Y 0.2718 0.0156 0.9491
Y 0.7282 0.5156 0.0509
Ge 0.2756 0.4812 0.1739
Ge 0.7244 0.9812 0.8261
S 0.0636 0.4106 0.9242
S 0.0714 0.4789 0.3358
S 0.4702 0.7408 0.7801
S 0.4858 0.7547 0.2023
S 0.5142 0.2547 0.7977
S 0.5298 0.2408 0.2199
S 0.9286 0.9789 0.6642
S 0.9364 0.9106 0.0758

Results
- final energy (eV/atom) = -14.845
- M_tot (μB per formula unit) = 0.00
- raw formation energy (meV/atom) = -1449


Entry 8:
A PBEsol-optimized structure of KReSi2, computed with SCAN.

Lattice parameters (Å, degrees): 5.1489 5.1489 5.1489 134.70 134.70 66.00
Sites, in units of the cell vectors:
K 0.0000 0.0000 0.0000
Re 0.7500 0.2500 0.5000
Si 0.2500 0.7500 0.5000
Si 0.5000 0.5000 0.0000

Results
- final energy (eV/atom) = -23.413
- M_tot (μB per formula unit) = 1.46
- raw formation energy (meV/atom) = 1452
- polymorph energy (0 for the lowest one) (eV per atom) = 1.392


Entry 9:
A PBEsol-optimized structure of EuMg2Bi2, computed with SCAN.

Lattice parameters (Å, degrees): 4.7800 4.7800 7.6809 90.00 90.00 120.00
Sites, in units of the cell vectors:
Eu 0.0000 0.0000 0.0000
Mg 0.3333 0.6667 0.3699
Mg 0.6667 0.3333 0.6301
Bi 0.3333 0.6667 0.7585
Bi 0.6667 0.3333 0.2415

Results
- final energy (eV/atom) = -44.807
- energy relative to the elements (kcal/mol of atoms) = -14.8
- M_tot (μB per formula unit) = 7.00


Entry 10:
A PBEsol-optimized structure of CaAlSe2, computed with SCAN.

Lattice parameters (Å, degrees): 3.7372 4.8701 5.5311 90.00 109.82 90.00
Sites, in units of the cell vectors:
Ca 0.0000 0.0000 0.0000
Al 0.2389 0.5000 0.4789
Se 0.2899 0.0000 0.5799
Se 0.5668 0.5000 0.1361

Results
- final energy (eV/atom) = -15.605
- M_tot (μB per formula unit) = 0.00
- raw formation energy (meV/atom) = -1212


Entry 11:
A PBEsol-optimized structure of BaZrAl2, computed with SCAN.

Lattice parameters (Å, degrees): 5.5763 5.5763 3.1302 90.00 90.00 104.69
Sites, in units of the cell vectors:
Ba 0.0000 0.0000 0.0000
Zr 0.5000 0.5000 0.0000
Al 0.0000 0.5000 0.5000
Al 0.5000 0.0000 0.5000

Results
- final energy (eV/atom) = -21.294
- energy relative to the elements (kcal/mol of atoms) = 3.3
- M_tot (μB per formula unit) = 0.00
- polymorph energy (0 for the lowest one) (eV per atom) = 0.261


Entry 12:
A PBEsol-optimized structure of RbZn2HBr, computed with SCAN.

Lattice parameters (Å, degrees): 4.3794 4.3794 5.8271 90.00 90.00 90.00
Sites, in units of the cell vectors:
Rb 0.0000 0.0000 0.0000
Zn 0.0000 0.5000 0.5000
Zn 0.5000 0.0000 0.5000
H 0.0000 0.0000 0.5000
Br 0.5000 0.5000 0.0000

Results
- final energy (eV/atom) = -14.246
- M_tot (μB per formula unit) = 0.00


Entry 13:
A PBEsol-optimized structure of LaWAu2, computed with SCAN.

Lattice parameters (Å, degrees): 5.3328 5.3328 5.3328 136.77 127.24 70.50
Sites, in units of the cell vectors:
La 0.0000 0.0000 0.0000
W 0.5000 0.5000 0.0000
Au 0.2756 0.7756 0.5000
Au 0.7244 0.2244 0.5000

Results
- final energy (eV/atom) = -62.545
- energy relative to the elements (kcal/mol of atoms) = 5.4
- M_tot (μB per formula unit) = 1.01
- polymorph energy (0 for the lowest one) (eV per atom) = 0.036


Entry 14:
A PBEsol-optimized structure of Rh2O3, computed with SCAN.

Lattice parameters (Å, degrees): 5.4696 5.4696 5.4696 55.68 55.68 55.68
Sites, in units of the cell vectors:
Rh 0.1506 0.1506 0.1506
Rh 0.3494 0.3494 0.3494
Rh 0.6506 0.6506 0.6506
Rh 0.8494 0.8494 0.8494
O 0.0498 0.7500 0.4502
O 0.2500 0.5498 0.9502
O 0.4502 0.0498 0.7500
O 0.5498 0.9502 0.2500
O 0.7500 0.4502 0.0498
O 0.9502 0.2500 0.5498

Results
- final energy (eV/atom) = -18.218
- M_tot (μB per formula unit) = 0.00
- raw formation energy (meV/atom) = -970


Entry 15:
A PBEsol-optimized structure of CsNi3P, computed with SCAN.

Lattice parameters (Å, degrees): 4.6593 4.6593 4.6593 90.00 90.00 90.00
Sites, in units of the cell vectors:
Cs 0.0000 0.0000 0.0000
Ni 0.0000 0.0000 0.5000
Ni 0.0000 0.5000 0.0000
Ni 0.5000 0.0000 0.0000
P 0.5000 0.5000 0.5000

Results
- final energy (eV/atom) = -16.912
- energy relative to the elements (kcal/mol of atoms) = 56.1
- M_tot (μB per formula unit) = 0.00


Entry 16:
A PBEsol-optimized structure of Li2TiCr2O6, computed with SCAN.

Lattice parameters (Å, degrees): 5.0291 5.0291 9.9965 90.00 90.00 60.03
Sites, in units of the cell vectors:
Li 0.1523 0.3477 0.2500
Li 0.3477 0.1523 0.7500
Li 0.6523 0.8477 0.2500
Li 0.8477 0.6523 0.7500
Ti 0.0000 0.0000 0.0000
Ti 0.5000 0.5000 0.5000
Cr 0.1639 0.1639 0.5000
Cr 0.3361 0.3361 0.0000
Cr 0.6639 0.6639 0.0000
Cr 0.8361 0.8361 0.5000
O 0.0050 0.3357 0.8932
O 0.1643 0.4950 0.6068
O 0.1698 0.8302 0.3992
O 0.3302 0.6698 0.8992
O 0.3357 0.0050 0.1068
O 0.4950 0.1643 0.3932
O 0.5050 0.8357 0.6068
O 0.6643 0.9950 0.8932
O 0.6698 0.3302 0.1008
O 0.8302 0.1698 0.6008
O 0.8357 0.5050 0.3932
O 0.9950 0.6643 0.1068

Results
- final energy (eV/atom) = -11.295
- M_tot (μB per formula unit) = 6.00
- raw formation energy (meV/atom) = -2661


Entry 17:
A PBEsol-optimized structure of Zr2BeAl, computed with SCAN.

Lattice parameters (Å, degrees): 3.0962 4.0034 5.7908 90.00 90.00 90.00
Sites, in units of the cell vectors:
Zr 0.0000 0.0000 0.0000
Zr 0.5000 0.5000 0.2746
Be 0.5000 0.5000 0.7701
Al 0.0000 0.0000 0.5193

Results
- final energy (eV/atom) = -18.282
- energy relative to the elements (kcal/mol of atoms) = 2.2
- M_tot (μB per formula unit) = 0.00
- polymorph energy (0 for the lowest one) (eV per atom) = 0.196


Entry 18:
A PBEsol-optimized structure of NbCoTc2Te, computed with SCAN.

Lattice parameters (Å, degrees): 4.4193 4.4193 4.5435 90.00 90.00 90.00
Sites, in units of the cell vectors:
Nb 0.0000 0.0000 0.0000
Co 0.0000 0.0000 0.5000
Tc 0.0000 0.5000 0.5000
Tc 0.5000 0.0000 0.5000
Te 0.5000 0.5000 0.0000

Results
- final energy (eV/atom) = -30.547
- M_tot (μB per formula unit) = 1.45
- raw formation energy (meV/atom) = 1014


Entry 19:
A PBEsol-optimized structure of TcPBr, computed with SCAN.

Lattice parameters (Å, degrees): 4.1779 4.1779 4.1779 60.00 60.00 60.00
Sites, in units of the cell vectors:
Tc 0.0000 0.0000 0.0000
P 0.2500 0.2500 0.2500
Br 0.7500 0.7500 0.7500

Results
- final energy (eV/atom) = -21.232
- M_tot (μB per formula unit) = 0.00
- raw formation energy (meV/atom) = 408


Entry 20:
A PBEsol-optimized structure of TaS2ClF, computed with SCAN.

Lattice parameters (Å, degrees): 4.6745 4.6745 4.7719 90.00 90.00 90.00
Sites, in units of the cell vectors:
Ta 0.0000 0.0000 0.0000
S 0.0000 0.5000 0.0000
S 0.5000 0.0000 0.0000
Cl 0.0000 0.0000 0.5000
F 0.5000 0.5000 0.5000

Results
- final energy (eV/atom) = -20.067
- M_tot (μB per formula unit) = 0.69
- raw formation energy (meV/atom) = -595


Entry 21:
A PBEsol-optimized structure of Mg3TlMo, computed with SCAN.

Lattice parameters (Å, degrees): 5.2365 5.2365 5.2365 90.00 90.00 90.00
Sites, in units of the cell vectors:
Mg 0.0000 0.0000 0.5000
Mg 0.0000 0.5000 0.0000
Mg 0.5000 0.0000 0.0000
Tl 0.5000 0.5000 0.5000
Mo 0.0000 0.0000 0.0000

Results
- final energy (eV/atom) = -23.465
- energy relative to the elements (kcal/mol of atoms) = 22.3
- M_tot (μB per formula unit) = 2.76


Entry 22:
A PBEsol-optimized structure of KLiMg, computed with SCAN.

Lattice parameters (Å, degrees): 7.0790 7.0790 7.0790 147.93 147.93 45.98
Sites, in units of the cell vectors:
K 0.0000 0.0000 0.0000
Li 0.7129 0.7129 0.0000
Mg 0.2918 0.2918 0.0000

Results
- final energy (eV/atom) = -5.080
- energy relative to the elements (kcal/mol of atoms) = 3.5
- M_tot (μB per formula unit) = 0.05


Entry 23:
A PBEsol-optimized structure of BaZrFe2, computed with SCAN.

Lattice parameters (Å, degrees): 3.7565 6.4371 6.4371 35.85 90.00 90.00
Sites, in units of the cell vectors:
Ba 0.0000 0.0000 0.0000
Zr 0.5000 0.7288 0.7288
Fe 0.0000 0.2793 0.2793
Fe 0.5000 0.3536 0.3536

Results
- final energy (eV/atom) = -26.021
- energy relative to the elements (kcal/mol of atoms) = 14.0
- M_tot (μB per formula unit) = 0.00
- polymorph energy (0 for the lowest one) (eV per atom) = 0.177


Entry 24:
A PBEsol-optimized structure of AgSb2Br, computed with SCAN.

Lattice parameters (Å, degrees): 4.1449 4.1449 6.0597 90.00 90.00 90.00
Sites, in units of the cell vectors:
Ag 0.0000 0.0000 0.0000
Sb 0.0000 0.5000 0.5000
Sb 0.5000 0.0000 0.5000
Br 0.5000 0.5000 0.0000

Results
- final energy (eV/atom) = -31.119
- M_tot (μB per formula unit) = 0.00
- raw formation energy (meV/atom) = 218
- polymorph energy (0 for the lowest one) (eV per atom) = 0.359


Entry 25:
A PBEsol-optimized structure of Zr2ZnIr, computed with SCAN.

Lattice parameters (Å, degrees): 4.1850 5.3795 5.3795 36.74 90.00 90.00
Sites, in units of the cell vectors:
Zr 0.0000 0.0000 0.0000
Zr 0.5000 0.2893 0.2893
Zn 0.5000 0.5663 0.5663
Ir 0.0000 0.7314 0.7314

Results
- final energy (eV/atom) = -37.243
- energy relative to the elements (kcal/mol of atoms) = -17.1
- M_tot (μB per formula unit) = 0.00


Entry 26:
A PBEsol-optimized structure of AlHgPb, computed with SCAN.

Lattice parameters (Å, degrees): 6.6237 6.6237 6.6237 150.61 150.61 42.05
Sites, in units of the cell vectors:
Al 0.0000 0.0000 0.0000
Hg 0.6327 0.6327 0.0000
Pb 0.3251 0.3251 0.0000

Results
- final energy (eV/atom) = -50.415
- energy relative to the elements (kcal/mol of atoms) = 3.5
- M_tot (μB per formula unit) = 0.00


Entry 27:
A PBEsol-optimized structure of CaInSe2, computed with SCAN.

Lattice parameters (Å, degrees): 4.1471 6.3837 6.3837 35.68 90.00 90.00
Sites, in units of the cell vectors:
Ca 0.0000 0.0000 0.0000
In 0.5000 0.2355 0.2355
Se 0.0000 0.7041 0.7041
Se 0.5000 0.4516 0.4516

Results
- final energy (eV/atom) = -22.101
- M_tot (μB per formula unit) = 0.00
- raw formation energy (meV/atom) = -1299


Entry 28:
A PBEsol-optimized structure of TiB2RhO, computed with SCAN.

Lattice parameters (Å, degrees): 3.6796 3.6796 3.7252 90.00 90.00 90.00
Sites, in units of the cell vectors:
Ti 0.0000 0.0000 0.0000
B 0.0000 0.5000 0.5000
B 0.5000 0.0000 0.5000
Rh 0.5000 0.5000 0.0000
O 0.0000 0.0000 0.5000

Results
- final energy (eV/atom) = -14.022
- M_tot (μB per formula unit) = 0.00
- raw formation energy (meV/atom) = 156